Computed, not measured: a crystal of CaAsNO2 relaxed with PBEsol at the SCAN level of DFT.

CIF file:
```
data_CaAsNO2
_chemical_formula_sum 'Ca1 As1 N1 O2'
_cell_length_a 3.817
_cell_length_b 3.817
_cell_length_c 3.666
_cell_angle_alpha 90.00
_cell_angle_beta 90.00
_cell_angle_gamma 90.00
_space_group_name_H-M_alt 'P 4/m m m'
_space_group_IT_number 123
_space_group_name_Hall '-P 4 2'
loop_
_atom_site_label
_atom_site_type_symbol
_atom_site_fract_x
_atom_site_fract_y
_atom_site_fract_z
Ca1 Ca 0.000 0.000 0.000
As1 As 0.500 0.500 0.500
N1 N 0.500 0.500 0.000
O1 O 0.000 0.500 0.500
```

Summary:
- Raw total energy: -11.57 eV/atom



Computed, not measured: a crystal of ScAg2Au relaxed with PBEsol at the SCAN level of DFT.

CIF file:
```
data_ScAg2Au
_chemical_formula_sum 'Sc1 Ag2 Au1'
_cell_length_a 3.404
_cell_length_b 3.404
_cell_length_c 6.121
_cell_angle_alpha 90.00
_cell_angle_beta 90.00
_cell_angle_gamma 90.00
_space_group_name_H-M_alt 'P 4 m m'
_space_group_IT_number 99
_space_group_name_Hall 'P 4 -2'
loop_
_atom_site_label
_atom_site_type_symbol
_atom_site_fract_x
_atom_site_fract_y
_atom_site_fract_z
Sc1 Sc 0.000 0.000 0.000
Ag1 Ag 0.000 0.000 0.506
Ag2 Ag 0.500 0.500 0.273
Au1 Au 0.500 0.500 0.762
```

Summary:
- Raw total energy: -36.99 eV/atom
- Formation enthalpy at 0 K: -460 meV per atom



Computed, not measured: a crystal of InBi3O relaxed with PBEsol at the SCAN level of DFT.

CIF file:
```
data_InBi3O
_chemical_formula_sum 'In1 Bi3 O1'
_cell_length_a 5.645
_cell_length_b 5.645
_cell_length_c 5.645
_cell_angle_alpha 90.00
_cell_angle_beta 90.00
_cell_angle_gamma 90.00
_space_group_name_H-M_alt 'P m -3 m'
_space_group_IT_number 221
_space_group_name_Hall '-P 4 2 3'
loop_
_atom_site_label
_atom_site_type_symbol
_atom_site_fract_x
_atom_site_fract_y
_atom_site_fract_z
In1 In 0.000 0.000 0.000
Bi1 Bi 0.000 0.000 0.500
O1 O 0.500 0.500 0.500
```

Summary:
- Raw total energy: -53.92 eV/atom